#w
Computed, not measured: a relaxed structure of CsHfCu2 at the PBE-GGA level of DFT.

Unit cell a=5.084 b=5.084 c=5.084 alpha=60.00 beta=60.00 gamma=60.00
Element x y z (fractional)
Cs 0.000 0.000 0.000
Cu 0.750 0.750 0.750
Hf 0.500 0.500 0.500
Cu 0.250 0.250 0.250

- V (Å³/cell) = 92.9


#x
Computed, not measured: a relaxed structure of CsHfCu2 at the PBE-GGA level of DFT.

Unit cell a=7.852 b=7.852 c=6.722 alpha=54.26 beta=54.26 gamma=90.00
Element x y z (fractional)
Hf 0.750 0.250 0.500
Cu 0.051 0.625 0.250
Cs 0.500 0.500 0.000
Cu 0.699 0.125 0.250
Cu 0.875 0.949 0.750
Hf 0.000 0.000 0.000
Cu 0.375 0.301 0.750
Cs 0.250 0.750 0.500

- V (Å³/cell) = 233.6


Relative calculated energies, zero for the most stable structure, unit eV/atom: #w 0.133; #x 0.000.


#w
Computed, not measured: a relaxed structure of SrSc2Os at the PBE-GGA level of DFT.

Unit cell a=3.517 b=3.809 c=7.803 alpha=90.00 beta=90.00 gamma=90.00
Element x y z (fractional)
Os 0.500 0.500 0.841
Sc 0.000 0.000 0.946
Sr 0.000 0.000 0.539
Sc 0.500 0.500 0.174

- V (Å³/cell) = 104.5


#x
Computed, not measured: a relaxed structure of SrSc2Os at the PBE-GGA level of DFT.

Unit cell a=4.577 b=4.577 c=6.483 alpha=71.03 beta=71.03 gamma=56.43
Element x y z (fractional)
Sc 0.546 0.546 0.384
Sr 0.750 0.750 0.750
Os 0.250 0.250 0.250
Sc 0.954 0.954 0.116

- V (Å³/cell) = 105.2


Relative calculated energies, zero for the most stable structure, unit eV/atom: #w 0.052; #x 0.000.


#w
Computed, not measured: a relaxed structure of K2CrRe at the PBE-GGA level of DFT.

Unit cell a=2.839 b=5.391 c=5.911 alpha=90.00 beta=90.00 gamma=90.00
Element x y z (fractional)
Re 0.500 0.250 0.500
Cr 0.500 0.750 0.500
K 0.000 0.498 0.000
K 0.000 0.002 0.000

- V (Å³/cell) = 90.5


#x
Computed, not measured: a relaxed structure of K2CrRe at the PBE-GGA level of DFT.

Unit cell a=12.272 b=12.272 c=12.272 alpha=13.77 beta=13.77 gamma=13.77
Element x y z (fractional)
K 0.996 0.996 0.996
Cr 0.750 0.750 0.750
K 0.504 0.504 0.504
Re 0.250 0.250 0.250

- V (Å³/cell) = 91.2


Relative calculated energies, zero for the most stable structure, unit eV/atom: #w 0.021; #x 0.000.


#w
Computed, not measured: a relaxed structure of KBa3 at the PBE-GGA level of DFT.

Unit cell a=5.098 b=5.098 c=10.155 alpha=90.00 beta=90.00 gamma=90.00
Element x y z (fractional)
Ba 0.000 0.000 0.491
Ba 0.500 0.500 0.250
K 0.500 0.500 0.750
Ba 0.000 0.000 0.009

- V (Å³/cell) = 263.9


#x
Computed, not measured: a relaxed structure of KBa3 at the PBE-GGA level of DFT.

Unit cell a=6.437 b=6.437 c=6.437 alpha=90.00 beta=90.00 gamma=90.00
Element x y z (fractional)
K 0.000 0.000 0.000
Ba 0.000 0.500 0.500
Ba 0.500 0.500 0.000
Ba 0.500 0.000 0.500

- V (Å³/cell) = 266.7


Relative calculated energies, zero for the most stable structure, unit eV/atom: #w 0.000; #x 0.020.


#w
Computed, not measured: a relaxed structure of B2C at the PBE-GGA level of DFT.

Unit cell a=2.684 b=2.702 c=12.208 alpha=90.00 beta=90.00 gamma=90.00
Element x y z (fractional)
B 0.500 0.500 0.470
B 0.000 0.000 0.332
B 0.000 0.000 0.035
B 0.500 0.500 0.831
C 0.500 0.000 0.253
C 0.000 0.500 0.095
C 0.000 0.500 0.413
B 0.000 0.500 0.722
C 0.000 0.000 0.653
B 0.500 0.000 0.593
B 0.500 0.500 0.179
B 0.500 0.000 0.925

- V (Å³/cell) = 88.5


#x
Computed, not measured: a relaxed structure of B2C at the PBE-GGA level of DFT.

Unit cell a=5.507 b=5.640 c=4.371 alpha=100.71 beta=84.53 gamma=134.55
Element x y z (fractional)
B 0.322 0.790 0.724
C 0.933 0.078 0.628
B 0.884 0.329 0.638
B 0.329 0.972 0.158
B 0.270 0.198 0.472
C 0.478 0.086 0.519
B 0.563 0.244 0.890
B 0.965 0.023 0.955
C 0.320 0.283 0.132
C 0.596 0.764 0.728
B 0.966 0.627 0.945
B 0.624 0.606 0.961

- V (Å³/cell) = 94.9


Relative calculated energies, zero for the most stable structure, unit eV/atom: #w 0.000; #x 0.023.


#w
Computed, not measured: a relaxed structure of Li2ZrTa at the PBE-GGA level of DFT.

Unit cell a=5.396 b=2.805 c=5.092 alpha=86.52 beta=90.00 gamma=90.00
Element x y z (fractional)
Li 0.000 0.992 0.014
Zr 0.500 0.750 0.750
Li 0.000 0.508 0.486
Ta 0.500 0.250 0.250

- V (Å³/cell) = 76.9


#x
Computed, not measured: a relaxed structure of Li2ZrTa at the PBE-GGA level of DFT.

Unit cell a=4.561 b=4.561 c=4.561 alpha=60.00 beta=60.00 gamma=60.00
Element x y z (fractional)
Li 0.250 0.250 0.250
Ta 0.500 0.500 0.500
Li 0.750 0.750 0.750
Zr 0.000 0.000 0.000

- V (Å³/cell) = 67.1


Relative calculated energies, zero for the most stable structure, unit eV/atom: #w 0.000; #x 0.191.


#w
Computed, not measured: a relaxed structure of Cs2In2Au at the PBE-GGA level of DFT.

Unit cell a=7.633 b=7.633 c=6.497 alpha=90.00 beta=90.00 gamma=90.00
Element x y z (fractional)
In 0.362 0.862 0.000
Cs 0.814 0.314 0.500
Cs 0.186 0.686 0.500
Au 0.000 0.000 0.000
Cs 0.686 0.814 0.500
In 0.138 0.362 0.000
In 0.638 0.138 0.000
Cs 0.314 0.186 0.500
Au 0.500 0.500 0.000
In 0.862 0.638 0.000

- V (Å³/cell) = 378.5


#x
Computed, not measured: a relaxed structure of Cs2In2Au at the PBE-GGA level of DFT.

Unit cell a=4.865 b=7.834 c=11.884 alpha=90.03 beta=78.19 gamma=71.91
Element x y z (fractional)
Cs 0.358 0.624 0.659
In 0.612 0.891 0.884
Cs 0.094 0.694 0.117
In 0.851 0.860 0.438
Cs 0.642 0.376 0.341
Au 0.352 0.964 0.332
Au 0.648 0.036 0.668
In 0.388 0.109 0.116
In 0.149 0.140 0.562
Cs 0.906 0.306 0.883

- V (Å³/cell) = 420.4


Relative calculated energies, zero for the most stable structure, unit eV/atom: #w 0.099; #x 0.000.